Li2CaNpCl8 | Alexandria | PBE | optimized geometry; VASP energy = -4.6619 eV/atom
1.0
6.564 -0.710 0.011
-0.719 6.763 0.929
0.045 1.219 8.219
Li Ca Np Cl
2 1 1 8
Cartesian
3.351 2.882 5.879
2.539 4.389 3.280
0.023 0.610 4.110
0.000 0.000 0.000
0.333 5.556 3.089
3.701 4.640 1.185
5.634 1.015 1.738
5.558 1.716 6.070
2.189 2.631 7.974
0.257 6.256 7.421
3.658 5.133 5.211
2.233 2.138 3.948

=====

Ac2CuSi4Au3 | Alexandria | PBE | optimized geometry; VASP energy = -4.9407 eV/atom
1.0
4.446 0.000 0.000
0.000 4.446 0.000
0.000 0.000 10.341
Ac Cu Si Au
2 1 4 3
Cartesian
2.223 0.000 2.619
0.000 2.223 7.722
2.223 2.223 5.170
2.223 2.223 0.000
0.000 0.000 0.000
2.223 0.000 6.476
0.000 2.223 3.865
0.000 0.000 5.170
2.223 0.000 9.055
0.000 2.223 1.285

=====

Ac2AgN | Alexandria | PBE | optimized geometry; VASP energy = -5.3767 eV/atom
1.0
-2.381 -2.548 -1.796
2.763 1.872 -2.063
5.851 -4.857 3.438
Ac Ag N
2 1 1
Cartesian
4.195 -4.807 1.257
2.037 -0.727 -1.679
4.307 -1.493 0.687
6.232 -5.534 -0.422

=====

Tb6PmSm2Ho | Alexandria | PBE | optimized geometry; energy of formation from the pure elements = 12 kJ per mole of atoms
1.0
9.259 -2.124 -2.204
0.723 8.535 -2.023
0.723 -2.338 8.454
Tb Pm Sm Ho
12 2 4 2
Cartesian
1.154 -0.815 5.936
4.921 -0.828 5.923
9.550 4.888 -1.710
5.783 4.901 -1.697
3.924 6.658 0.908
2.150 4.474 -1.359
6.780 -2.586 3.318
8.554 -0.401 5.585
1.997 4.615 2.527
4.078 2.781 0.623
8.707 -0.543 1.700
6.626 1.292 3.604
3.037 1.542 3.653
7.667 2.531 0.574
5.339 4.287 3.325
0.736 1.971 0.921
5.365 -0.214 0.901
9.968 2.102 3.305
3.037 7.795 -2.373
7.667 -3.723 6.600

=====

Cs2ReN3 | Alexandria | PBE | optimized geometry; VASP energy = -6.7025 eV/atom
1.0
-0.749 5.560 3.827
0.928 -0.633 7.127
6.835 3.691 2.001
Cs Re N
4 2 6
Cartesian
1.647 1.519 4.142
5.367 7.099 8.814
2.735 3.180 7.967
4.279 5.438 4.989
0.597 5.529 4.135
6.417 3.088 8.821
-0.150 1.110 0.764
-0.599 4.450 3.063
4.233 2.900 2.640
2.781 5.717 10.315
5.687 3.940 7.440
1.327 4.677 5.516

=====

LiPuSnAu | Alexandria | PBE | optimized geometry; energy of formation from the pure elements = -33 kJ per mole of atoms
1.0
5.034 0.000 0.000
2.517 4.360 0.000
2.517 1.453 4.110
Li Au Sn Pu
1 1 1 1
Cartesian
0.000 0.000 0.000
7.551 4.360 3.083
2.517 1.453 1.028
5.034 2.906 2.055

=====

HgPtPb6 | Alexandria | PBE | optimized geometry; energy of formation from the pure elements = 5 kJ per mole of atoms
1.0
-3.430 -5.586 1.175
3.181 -6.416 -0.129
2.771 -2.737 5.620
Hg Pt Pb
1 1 6
Cartesian
0.000 0.000 0.000
-0.124 -6.001 0.523
0.579 -8.799 4.066
-1.198 -5.666 3.229
3.720 -9.073 3.437
1.942 -5.940 2.600
-0.147 -8.762 0.757
-0.102 -3.240 0.290

=====

CdAs | Alexandria | PBE | optimized geometry; energy of formation from the pure elements = 10 kJ per mole of atoms
1.0
3.055 0.000 0.000
0.000 5.601 0.000
0.000 0.000 5.116
As Cd
2 2
Cartesian
0.000 0.000 0.852
1.527 2.801 3.412
1.527 0.000 3.410
0.000 2.801 0.854

=====

TlCoH3 | Alexandria | PBE | optimized geometry; VASP energy = -3.5461 eV/atom
1.0
-2.282 2.366 1.397
-0.202 -1.956 2.982
2.740 1.826 1.384
H Tl Co
3 1 1
Cartesian
-0.101 -0.978 1.491
1.370 0.913 0.692
-1.141 1.183 0.699
0.128 1.118 2.881
0.000 0.000 0.000

=====

K2ReCl6 | Alexandria | PBE | optimized geometry; VASP energy = -4.1356 eV/atom
1.0
-0.770 -7.062 -0.361
3.913 -3.774 -4.587
5.161 -4.268 2.399
Cl K Re
6 2 1
Cartesian
4.278 -9.545 0.473
4.026 -5.559 -3.022
3.620 -9.285 -3.213
4.684 -5.819 0.663
1.556 -7.294 -0.793
6.749 -7.811 -1.757
2.076 -3.776 -0.637
6.228 -11.328 -1.912
0.000 0.000 0.000

=====

KSc2Cd | Alexandria | PBE | optimized geometry; energy of formation from the pure elements = 25 kJ per mole of atoms
1.0
-3.928 10.476 -3.697
-4.552 8.681 -6.539
-6.844 8.717 -4.003
Cd K Sc
1 1 2
Cartesian
-3.831 6.969 -3.560
-11.493 20.906 -10.679
-15.084 27.438 -14.016
-7.902 14.374 -7.342